# Ac7Pm12Pr GGA-PBE optimized geometry
data_Ac7Pm12Pr
_chemical_formula_sum 'Ac14 Pm24 Pr2'
_cell_length_a 12.129
_cell_length_b 12.129
_cell_length_c 12.129
_cell_angle_alpha 90.00
_cell_angle_beta 90.00
_cell_angle_gamma 90.00
_space_group_name_H-M_alt 'I m -3'
_space_group_IT_number 204
_space_group_name_Hall '-I 2 2 3'
loop_
_atom_site_label
_atom_site_type_symbol
_atom_site_fract_x
_atom_site_fract_y
_atom_site_fract_z
Ac1 Ac 0.000 0.000 0.500
Ac2 Ac 0.250 0.250 0.250
Pm1 Pm 0.000 0.327 0.245
Pr1 Pr 0.000 0.000 0.000
# Formation energy from the elements ... 0.787 eV per atom
# Crystal system ... cubic

***

# Ac2PmPr8 GGA-PBE optimized geometry
data_Ac2PmPr8
_chemical_formula_sum 'Ac4 Pm2 Pr16'
_cell_length_a 13.355
_cell_length_b 7.146
_cell_length_c 9.007
_cell_angle_alpha 90.00
_cell_angle_beta 102.72
_cell_angle_gamma 90.00
_space_group_name_H-M_alt 'C 1 2/m 1'
_space_group_IT_number 12
_space_group_name_Hall '-C 2y'
loop_
_atom_site_label
_atom_site_type_symbol
_atom_site_fract_x
_atom_site_fract_y
_atom_site_fract_z
Ac1 Ac 0.170 0.000 0.193
Pm1 Pm 0.000 0.000 0.500
Pr1 Pr 0.059 0.273 0.838
Pr2 Pr 0.126 0.500 0.488
Pr3 Pr 0.223 0.500 0.175
# Formation energy from the elements ... 0.147 eV per atom
# Crystal system ... monoclinic

***

# AcPm2Pr7 GGA-PBE optimized geometry
data_AcPm2Pr7
_chemical_formula_sum 'Ac2 Pm4 Pr14'
_cell_length_a 16.787
_cell_length_b 5.844
_cell_length_c 8.867
_cell_angle_alpha 90.00
_cell_angle_beta 119.32
_cell_angle_gamma 90.00
_space_group_name_H-M_alt 'C 1 2/m 1'
_space_group_IT_number 12
_space_group_name_Hall '-C 2y'
loop_
_atom_site_label
_atom_site_type_symbol
_atom_site_fract_x
_atom_site_fract_y
_atom_site_fract_z
Ac1 Ac 0.000 0.000 0.000
Pm1 Pm 0.239 0.000 0.283
Pr1 Pr 0.000 0.500 0.500
Pr2 Pr 0.118 0.500 0.287
Pr3 Pr 0.128 0.000 0.597
Pr4 Pr 0.156 0.500 0.958
# Formation energy from the elements ... 0.181 eV per atom
# Crystal system ... monoclinic

***

# Ac4Pm5Pr GGA-PBE optimized geometry
data_Ac4Pm5Pr
_chemical_formula_sum 'Ac8 Pm10 Pr2'
_cell_length_a 17.600
_cell_length_b 3.763
_cell_length_c 12.146
_cell_angle_alpha 90.00
_cell_angle_beta 90.10
_cell_angle_gamma 90.00
_space_group_name_H-M_alt 'C 1 2/m 1'
_space_group_IT_number 12
_space_group_name_Hall '-C 2y'
loop_
_atom_site_label
_atom_site_type_symbol
_atom_site_fract_x
_atom_site_fract_y
_atom_site_fract_z
Ac1 Ac 0.034 0.000 0.249
Ac2 Ac 0.168 0.500 0.750
Pm1 Pm 0.000 0.500 0.000
Pm2 Pm 0.171 0.000 0.036
Pm3 Pm 0.171 0.000 0.462
Pr1 Pr 0.000 0.500 0.500
# Formation energy from the elements ... 0.187 eV per atom
# Crystal system ... monoclinic

***

# Ac2Pm5Pr GGA-PBE optimized geometry
data_Ac2Pm5Pr
_chemical_formula_sum 'Ac4 Pm10 Pr2'
_cell_length_a 3.689
_cell_length_b 11.645
_cell_length_c 13.895
_cell_angle_alpha 90.00
_cell_angle_beta 90.00
_cell_angle_gamma 90.00
_space_group_name_H-M_alt 'I m m m'
_space_group_IT_number 71
_space_group_name_Hall '-I 2 2'
loop_
_atom_site_label
_atom_site_type_symbol
_atom_site_fract_x
_atom_site_fract_y
_atom_site_fract_z
Ac1 Ac 0.000 0.000 0.243
Pm1 Pm 0.000 0.000 0.500
Pm2 Pm 0.000 0.267 0.126
Pr1 Pr 0.000 0.500 0.500
# Formation energy from the elements ... 0.082 eV per atom
# Crystal system ... orthorhombic

***

# Ac5Pm2Pr2 GGA-PBE optimized geometry
data_Ac5Pm2Pr2
_chemical_formula_sum 'Ac10 Pm4 Pr4'
_cell_length_a 10.601
_cell_length_b 6.182
_cell_length_c 11.221
_cell_angle_alpha 90.00
_cell_angle_beta 90.31
_cell_angle_gamma 90.00
_space_group_name_H-M_alt 'C 1 2/m 1'
_space_group_IT_number 12
_space_group_name_Hall '-C 2y'
loop_
_atom_site_label
_atom_site_type_symbol
_atom_site_fract_x
_atom_site_fract_y
_atom_site_fract_z
Ac1 Ac 0.000 0.000 0.000
Ac2 Ac 0.167 0.500 0.170
Ac3 Ac 0.168 0.500 0.502
Pm1 Pm 0.000 0.000 0.334
Pr1 Pr 0.168 0.500 0.831
# Formation energy from the elements ... 0.008 eV per atom
# Crystal system ... monoclinic

***

# Ac2Pm2Pr7 GGA-PBE optimized geometry
data_Ac2Pm2Pr7
_chemical_formula_sum 'Ac4 Pm4 Pr14'
_cell_length_a 14.326
_cell_length_b 7.200
_cell_length_c 8.926
_cell_angle_alpha 90.00
_cell_angle_beta 113.32
_cell_angle_gamma 90.00
_space_group_name_H-M_alt 'C 1 2/m 1'
_space_group_IT_number 12
_space_group_name_Hall '-C 2y'
loop_
_atom_site_label
_atom_site_type_symbol
_atom_site_fract_x
_atom_site_fract_y
_atom_site_fract_z
Ac1 Ac 0.000 0.247 0.000
Pm1 Pm 0.177 0.000 0.393
Pr1 Pr 0.000 0.000 0.500
Pr2 Pr 0.075 0.500 0.391
Pr3 Pr 0.197 0.246 0.790
# Formation energy from the elements ... 0.241 eV per atom
# Crystal system ... monoclinic

***

# Ac5PmPr3 GGA-PBE optimized geometry
data_Ac5PmPr3
_chemical_formula_sum 'Ac20 Pm4 Pr12'
_cell_length_a 16.197
_cell_length_b 12.672
_cell_length_c 10.525
_cell_angle_alpha 90.00
_cell_angle_beta 129.84
_cell_angle_gamma 90.00
_space_group_name_H-M_alt 'C 1 2/m 1'
_space_group_IT_number 12
_space_group_name_Hall '-C 2y'
loop_
_atom_site_label
_atom_site_type_symbol
_atom_site_fract_x
_atom_site_fract_y
_atom_site_fract_z
Ac1 Ac 0.000 0.247 0.000
Ac2 Ac 0.138 0.245 0.743
Ac3 Ac 0.233 0.000 0.230
Ac4 Ac 0.247 0.500 0.404
Pm1 Pm 0.227 0.500 0.052
Pr1 Pr 0.000 0.000 0.500
Pr2 Pr 0.000 0.500 0.000
Pr3 Pr 0.003 0.000 0.819
Pr4 Pr 0.008 0.500 0.343
# Formation energy from the elements ... 0.384 eV per atom
# Crystal system ... monoclinic

***

Number 1: density 6.5 Mg/m³. Number 2: density 6.8 Mg/m³. Number 3: density 6.6 Mg/m³. Number 4: density 7.3 Mg/m³. Number 5: density 7.3 Mg/m³. Number 6: density 7.7 Mg/m³. Number 7: density 6.8 Mg/m³. Number 8: density 6.8 Mg/m³.